<P>
# GGA-PBE BeSnHg3, optimized geometry
data_BeSnHg3
_space_group_name_H-M_alt 'P m -3 m'
_space_group_IT_number 221
_space_group_name_Hall '-P 4 2 3'
_cell_length_a 5.756
_cell_length_b 5.756
_cell_length_c 5.756
_cell_angle_alpha 90.00
_cell_angle_beta 90.00
_cell_angle_gamma 90.00
loop_
_atom_site_label
_atom_site_fract_x
_atom_site_fract_y
_atom_site_fract_z
_atom_site_occupancy
Be1 0.000 0.000 0.000 1
Sn1 0.500 0.500 0.500 1
Hg1 0.000 0.500 0.500 1
# Fermi-level density of states: 0.552 states/eV per atom
# M_tot: 0.000 μB/cell



<Q>
# GGA-PBE BeSnHg3, optimized geometry
data_BeSnHg3
_space_group_name_H-M_alt 'P m -3 m'
_space_group_IT_number 221
_space_group_name_Hall '-P 4 2 3'
_cell_length_a 4.887
_cell_length_b 4.887
_cell_length_c 4.887
_cell_angle_alpha 90.00
_cell_angle_beta 90.00
_cell_angle_gamma 90.00
loop_
_atom_site_label
_atom_site_fract_x
_atom_site_fract_y
_atom_site_fract_z
_atom_site_occupancy
Be1 0.000 0.000 0.000 1
Sn1 0.500 0.500 0.500 1
Hg1 0.000 0.000 0.500 1
# Fermi-level density of states: 0.574 states/eV per atom
# M_tot: 0.000 μB/cell



Which structure wins on stability? <Q> wins.



<P>
# GGA-PBE BeSnHg2, optimized geometry
data_BeSnHg2
_space_group_name_H-M_alt 'I -4 2 d'
_space_group_IT_number 122
_space_group_name_Hall 'I -4 2bw'
_cell_length_a 4.609
_cell_length_b 4.609
_cell_length_c 17.515
_cell_angle_alpha 90.00
_cell_angle_beta 90.00
_cell_angle_gamma 90.00
loop_
_atom_site_label
_atom_site_fract_x
_atom_site_fract_y
_atom_site_fract_z
_atom_site_occupancy
Be1 0.000 0.000 0.000 1
Sn1 0.000 0.000 0.500 1
Hg1 0.191 0.250 0.125 1
# Fermi-level density of states: 0.387 states/eV per atom
# M_tot: 0.000 μB/cell



<Q>
# GGA-PBE BeSnHg2, optimized geometry
data_BeSnHg2
_space_group_name_H-M_alt 'F m -3 m'
_space_group_IT_number 225
_space_group_name_Hall '-F 4 2 3'
_cell_length_a 7.082
_cell_length_b 7.082
_cell_length_c 7.082
_cell_angle_alpha 90.00
_cell_angle_beta 90.00
_cell_angle_gamma 90.00
loop_
_atom_site_label
_atom_site_fract_x
_atom_site_fract_y
_atom_site_fract_z
_atom_site_occupancy
Be1 0.000 0.000 0.000 1
Sn1 0.000 0.000 0.500 1
Hg1 0.250 0.250 0.250 1
# Fermi-level density of states: 0.453 states/eV per atom
# M_tot: 0.000 μB/cell



Which structure wins on stability? <P> wins.



<P>
# GGA-PBE Sr2BeHg, optimized geometry
data_Sr2BeHg
_space_group_name_H-M_alt 'P 1 m 1'
_space_group_IT_number 6
_space_group_name_Hall 'P -2y'
_cell_length_a 5.035
_cell_length_b 4.474
_cell_length_c 6.089
_cell_angle_alpha 90.00
_cell_angle_beta 114.36
_cell_angle_gamma 90.00
loop_
_atom_site_label
_atom_site_fract_x
_atom_site_fract_y
_atom_site_fract_z
_atom_site_occupancy
Sr1 0.000 0.000 0.000 1
Sr2 0.294 0.500 0.588 1
Be1 0.686 0.000 0.375 1
Hg1 0.602 0.500 0.203 1
# Fermi-level density of states: 0.714 states/eV per atom
# M_tot: 0.000 μB/cell



<Q>
# GGA-PBE Sr2BeHg, optimized geometry
data_Sr2BeHg
_space_group_name_H-M_alt 'F m -3 m'
_space_group_IT_number 225
_space_group_name_Hall '-F 4 2 3'
_cell_length_a 7.803
_cell_length_b 7.803
_cell_length_c 7.803
_cell_angle_alpha 90.00
_cell_angle_beta 90.00
_cell_angle_gamma 90.00
loop_
_atom_site_label
_atom_site_fract_x
_atom_site_fract_y
_atom_site_fract_z
_atom_site_occupancy
Sr1 0.250 0.250 0.250 1
Be1 0.000 0.000 0.000 1
Hg1 0.000 0.000 0.500 1
# Fermi-level density of states: 0.557 states/eV per atom
# M_tot: 0.000 μB/cell



Which structure wins on stability? <P> wins.